VASP calculation (GGA-PBE) on an optimized crystal structure of CaAlP2.

Structure (POSCAR):
```
CaAlP2
1.0
-2.708 0.095 6.728
0.479 -3.529 6.319
2.830 3.276 -5.820
Al P Ca
1 2 1
direct
0.547 0.547 0.000
0.971 0.971 0.000
0.681 0.181 0.500
0.301 0.801 0.500
```

Values from the calculation:
- E_form: -0.384 eV/atom
- DFT total energy: -4.52 eV per atom
- Theoretical density: 2.67 Mg/m³

---

VASP calculation (GGA-PBE) on an optimized crystal structure of CaAlP2.

Structure (POSCAR):
```
CaAlP2
1.0
6.857 0.623 -0.102
5.577 4.037 -0.102
-0.889 -0.333 3.521
Ca Al P
1 1 2
direct
0.313 0.313 0.188
0.562 0.562 0.937
0.944 0.944 0.820
0.681 0.681 0.556
```

Values from the calculation:
- E_form: -0.620 eV/atom
- DFT total energy: -4.76 eV per atom
- Theoretical density: 2.52 Mg/m³

---

VASP calculation (GGA-PBE) on an optimized crystal structure of CaAlP2.

Structure (POSCAR):
```
CaAlP2
1.0
-3.104 1.460 -0.951
-1.464 -1.611 2.305
0.680 4.757 5.084
Ca P Al
1 2 1
direct
0.500 0.750 0.750
0.000 0.153 0.020
0.000 0.347 0.480
0.500 0.250 0.250
```

Values from the calculation:
- E_form: -0.380 eV/atom
- DFT total energy: -4.52 eV per atom
- Theoretical density: 2.74 Mg/m³

---

VASP calculation (GGA-PBE) on an optimized crystal structure of CaAlP2.

Structure (POSCAR):
```
CaAlP2
1.0
-0.213 1.081 4.939
-4.892 -1.212 0.456
4.272 -2.466 -1.133
P Al Ca
2 1 1
direct
0.542 0.542 0.000
0.958 0.958 0.000
0.750 0.250 0.500
0.250 0.750 0.500
```

Values from the calculation:
- E_form: -0.375 eV/atom
- DFT total energy: -4.52 eV per atom
- Theoretical density: 2.65 Mg/m³

---

VASP calculation (GGA-PBE) on an optimized crystal structure of Ca2AlP.

Structure (POSCAR):
```
Ca2AlP
1.0
4.180 0.000 0.000
0.000 4.180 0.000
0.000 0.000 6.047
Ca P Al
2 1 1
direct
0.500 0.500 0.321
0.000 0.000 0.935
0.000 0.000 0.444
0.500 0.500 0.800
```

Values from the calculation:
- E_form: -0.177 eV/atom
- DFT total energy: -3.47 eV per atom
- Energy above the lowest structure with this stoichiometry: 497 meV/atom
- Theoretical density: 2.17 Mg/m³

---

VASP calculation (GGA-PBE) on an optimized crystal structure of Ca5Al2P6.

Structure (POSCAR):
```
Ca5Al2P6
1.0
4.036 0.000 0.000
0.000 11.133 0.000
0.000 0.000 12.803
Ca P Al
10 12 4
direct
0.500 0.589 0.254
0.500 0.000 0.500
0.500 0.678 0.511
0.500 0.322 0.489
0.500 0.911 0.754
0.500 0.500 0.000
0.500 0.178 0.989
0.500 0.089 0.246
0.500 0.411 0.746
0.500 0.822 0.011
0.000 0.841 0.601
0.000 0.986 0.912
0.500 0.659 0.814
0.500 0.841 0.314
0.500 0.159 0.686
0.000 0.486 0.588
0.000 0.514 0.412
0.000 0.014 0.088
0.000 0.159 0.399
0.500 0.341 0.186
0.000 0.341 0.899
0.000 0.659 0.101
0.000 0.829 0.212
0.000 0.171 0.788
0.000 0.671 0.712
0.000 0.329 0.288
```

Values from the calculation:
- E_form: -1.027 eV/atom
- DFT total energy: -4.87 eV per atom
- Theoretical density: 2.54 Mg/m³

---

VASP calculation (GGA-PBE) on an optimized crystal structure of Ca2AlP.

Structure (POSCAR):
```
Ca2AlP
1.0
-3.187 -0.201 -1.191
-1.046 -1.221 3.005
-1.476 7.761 2.640
Al Ca P
1 2 1
direct
0.500 0.500 0.750
0.000 0.000 0.044
0.000 0.000 0.456
0.500 0.500 0.250
```

Values from the calculation:
- E_form: -0.478 eV/atom
- DFT total energy: -3.77 eV per atom
- Energy above the lowest structure with this stoichiometry: 196 meV/atom
- Theoretical density: 2.37 Mg/m³

---

VASP calculation (GGA-PBE) on an optimized crystal structure of Ca2AlP.

Structure (POSCAR):
```
Ca2AlP
1.0
6.247 -0.001 0.008
5.165 3.513 0.008
1.797 0.553 4.359
Ca Al P
2 1 1
direct
0.995 0.995 0.005
0.779 0.779 0.721
0.191 0.191 0.308
0.536 0.536 0.465
```

Values from the calculation:
- E_form: -0.533 eV/atom
- DFT total energy: -3.82 eV per atom
- Energy above the lowest structure with this stoichiometry: 141 meV/atom
- Theoretical density: 2.40 Mg/m³

---

Computed total magnetization, in the same sequence as the records: 0.00 0.00 0.00 0.00 0.00 0.00 0.00 0.00 μB/cell.